Here is a relaxed Y2IrRu crystal from Alexandria via LeMat-Bulk. Energies are from PBE-GGA.

Output
- calculated total energy (eV for the cell shown) = -32.3
- DFT formation energy (meV per atom) = -313

a b c (Å): 7.027 7.027 7.027
angles (deg): 35.49 35.49 35.49
Positions (direct):
Ir 0.458 0.458 0.458
Ru 0.792 0.792 0.792
Y 0.036 0.036 0.036
Y 0.214 0.214 0.214



Here is a relaxed Y2IrRu crystal from Alexandria via LeMat-Bulk. Energies are from PBE-GGA.

Output
- calculated total energy (eV for the cell shown) = -62.2
- DFT formation energy (meV per atom) = -13

a b c (Å): 7.438 7.438 6.098
angles (deg): 52.42 52.42 90.00
Positions (direct):
Y 0.623 0.125 0.250
Y 0.127 0.625 0.250
Y 0.375 0.377 0.750
Y 0.875 0.873 0.750
Ru 0.500 0.500 0.000
Ru 0.250 0.750 0.500
Ir 0.000 0.000 0.000
Ir 0.750 0.250 0.500



Here is a relaxed Y5Ir2Ru crystal from Alexandria via LeMat-Bulk. Energies are from PBE-GGA.

Output
- calculated total energy (eV for the cell shown) = -127.6
- DFT formation energy (meV per atom) = -560

a b c (Å): 4.235 7.544 12.039
angles (deg): 90.00 90.00 90.00
Positions (direct):
Y 0.000 0.000 0.500
Y 0.000 0.500 0.000
Y 0.000 0.835 0.204
Y 0.000 0.165 0.796
Y 0.000 0.665 0.704
Y 0.000 0.335 0.296
Y 0.500 0.673 0.407
Y 0.500 0.327 0.593
Y 0.500 0.827 0.907
Y 0.500 0.173 0.093
Ir 0.500 0.537 0.170
Ir 0.500 0.463 0.830
Ir 0.500 0.963 0.670
Ir 0.500 0.037 0.330
Ru 0.000 0.500 0.500
Ru 0.000 0.000 0.000



Here is a relaxed YIrRu crystal from Alexandria via LeMat-Bulk. Energies are from PBE-GGA.

Output
- calculated total energy (eV for the cell shown) = -22.3
- DFT formation energy (meV per atom) = 754
- energy above the lowest structure with this stoichiometry (meV per atom) = 1315.2

a b c (Å): 4.473 4.473 4.473
angles (deg): 60.00 60.00 60.00
Positions (direct):
Ir 0.000 0.000 0.000
Ru 0.500 0.500 0.500
Y 0.250 0.250 0.250



Here is a relaxed YIr2Ru crystal from Alexandria via LeMat-Bulk. Energies are from PBE-GGA.

Output
- calculated total energy (eV for the cell shown) = -32.1
- DFT formation energy (meV per atom) = 346
- energy above the lowest structure with this stoichiometry (meV per atom) = 554.2

a b c (Å): 9.585 9.585 9.585
angles (deg): 17.14 17.14 17.14
Positions (direct):
Ir 0.994 0.994 0.994
Ir 0.249 0.249 0.249
Ru 0.508 0.508 0.508
Y 0.749 0.749 0.749



Here is a relaxed YIr3Ru crystal from Alexandria via LeMat-Bulk. Energies are from PBE-GGA.

Output
- calculated total energy (eV for the cell shown) = -38.2
- DFT formation energy (meV per atom) = 822
- energy above the lowest structure with this stoichiometry (meV per atom) = 0.0

a b c (Å): 4.729 4.729 4.729
angles (deg): 90.00 90.00 90.00
Positions (direct):
Y 0.500 0.500 0.500
Ru 0.000 0.000 0.000
Ir 0.000 0.500 0.000
Ir 0.000 0.000 0.500
Ir 0.500 0.000 0.000



Here is a relaxed Y5IrRu2 crystal from Alexandria via LeMat-Bulk. Energies are from PBE-GGA.

Output
- calculated total energy (eV for the cell shown) = -126.7
- DFT formation energy (meV per atom) = -453

a b c (Å): 7.276 7.276 8.819
angles (deg): 114.36 114.36 90.00
Positions (direct):
Y 0.533 0.679 0.712
Y 0.821 0.967 0.288
Y 0.000 0.000 0.000
Y 0.500 0.500 0.000
Y 0.179 0.033 0.712
Y 0.679 0.179 0.712
Y 0.033 0.533 0.712
Y 0.321 0.821 0.288
Y 0.967 0.467 0.288
Y 0.467 0.321 0.288
Ir 0.750 0.750 0.500
Ir 0.250 0.250 0.500
Ru 0.122 0.378 0.000
Ru 0.622 0.122 0.000
Ru 0.378 0.878 0.000
Ru 0.878 0.622 0.000



Here is a relaxed YIrRu crystal from Alexandria via LeMat-Bulk. Energies are from PBE-GGA.

Output
- calculated total energy (eV for the cell shown) = -25.4
- DFT formation energy (meV per atom) = -272
- energy above the lowest structure with this stoichiometry (meV per atom) = 289.6

a b c (Å): 4.217 4.217 4.065
angles (deg): 90.00 90.00 120.00
Positions (direct):
Ir 0.000 0.000 0.167
Ru 0.667 0.333 0.167
Y 0.333 0.667 0.667



Here is a relaxed YIr2Ru crystal from Alexandria via LeMat-Bulk. Energies are from PBE-GGA.

Output
- calculated total energy (eV for the cell shown) = -33.8
- DFT formation energy (meV per atom) = -95
- energy above the lowest structure with this stoichiometry (meV per atom) = 113.5

a b c (Å): 4.979 4.979 4.952
angles (deg): 79.76 79.76 33.91
Positions (direct):
Ir 0.009 0.009 0.968
Ir 0.491 0.491 0.532
Ru 0.750 0.750 0.750
Y 0.250 0.250 0.250



Here is a relaxed YIrRu crystal from Alexandria via LeMat-Bulk. Energies are from PBE-GGA.

Output
- calculated total energy (eV for the cell shown) = -24.8
- DFT formation energy (meV per atom) = -77
- energy above the lowest structure with this stoichiometry (meV per atom) = 484.0

a b c (Å): 6.462 6.462 6.462
angles (deg): 153.34 153.34 38.06
Positions (direct):
Ir 0.980 0.980 0.000
Ru 0.353 0.353 0.000
Y 0.667 0.667 0.000



Here is a relaxed Y2IrRu crystal from Alexandria via LeMat-Bulk. Energies are from PBE-GGA.

Output
- calculated total energy (eV for the cell shown) = -32.1
- DFT formation energy (meV per atom) = -268

a b c (Å): 5.748 5.748 5.748
angles (deg): 138.87 138.87 59.58
Positions (direct):
Ir 0.500 0.500 0.000
Ru 0.750 0.250 0.500
Y 0.000 0.000 0.000
Y 0.250 0.750 0.500



Here is a relaxed YIr2Ru crystal from Alexandria via LeMat-Bulk. Energies are from PBE-GGA.

Output
- calculated total energy (eV for the cell shown) = -33.9
- DFT formation energy (meV per atom) = -111
- energy above the lowest structure with this stoichiometry (meV per atom) = 96.8

a b c (Å): 2.906 2.906 7.949
angles (deg): 90.00 90.00 90.00
Positions (direct):
Ir 0.000 0.000 0.031
Ir 0.000 0.000 0.469
Ru 0.500 0.500 0.250
Y 0.500 0.500 0.750



Here is a relaxed YIr2Ru crystal from Alexandria via LeMat-Bulk. Energies are from PBE-GGA.

Output
- calculated total energy (eV for the cell shown) = -34.1
- DFT formation energy (meV per atom) = -163
- energy above the lowest structure with this stoichiometry (meV per atom) = 44.9

a b c (Å): 6.450 4.873 2.931
angles (deg): 89.99 62.99 121.68
Positions (direct):
Ir 0.000 0.000 0.000
Ir 0.500 0.000 0.500
Ru 0.000 0.500 0.500
Y 0.500 0.500 0.000



Here is a relaxed Y2IrRu crystal from Alexandria via LeMat-Bulk. Energies are from PBE-GGA.

Output
- calculated total energy (eV for the cell shown) = -31.1
- DFT formation energy (meV per atom) = -3

a b c (Å): 3.422 3.422 7.881
angles (deg): 90.00 90.00 90.01
Positions (direct):
Ir 0.000 0.000 0.559
Ru 0.500 0.500 0.686
Y 0.000 0.000 0.933
Y 0.500 0.500 0.321



Here is a relaxed YIr2Ru crystal from Alexandria via LeMat-Bulk. Energies are from PBE-GGA.

Output
- calculated total energy (eV for the cell shown) = -34.0
- DFT formation energy (meV per atom) = -132
- energy above the lowest structure with this stoichiometry (meV per atom) = 76.4

a b c (Å): 4.927 4.927 5.070
angles (deg): 79.58 79.58 34.41
Positions (direct):
Ir 0.009 0.009 0.970
Ir 0.751 0.751 0.734
Ru 0.489 0.489 0.553
Y 0.251 0.251 0.244



Here is a relaxed Y2IrRu crystal from Alexandria via LeMat-Bulk. Energies are from PBE-GGA.

Output
- calculated total energy (eV for the cell shown) = -33.3
- DFT formation energy (meV per atom) = -569

a b c (Å): 4.838 4.838 4.838
angles (deg): 60.00 60.00 60.00
Positions (direct):
Y 0.000 0.000 0.000
Y 0.500 0.500 0.500
Ru 0.750 0.750 0.750
Ir 0.250 0.250 0.250



Here is a relaxed YIrRu crystal from Alexandria via LeMat-Bulk. Energies are from PBE-GGA.

Output
- calculated total energy (eV for the cell shown) = -25.0
- DFT formation energy (meV per atom) = -122
- energy above the lowest structure with this stoichiometry (meV per atom) = 439.6

a b c (Å): 5.526 5.526 5.526
angles (deg): 149.23 138.85 52.25
Positions (direct):
Ir 0.963 0.963 0.000
Ru 0.372 0.372 0.000
Y 0.665 0.665 0.000



Here is a relaxed Y6Ir3Ru crystal from Alexandria via LeMat-Bulk. Energies are from PBE-GGA.

Output
- calculated total energy (eV for the cell shown) = -159.8
- DFT formation energy (meV per atom) = -526

a b c (Å): 4.759 8.087 12.267
angles (deg): 90.00 90.00 90.00
Positions (direct):
Y 0.500 0.156 0.908
Y 0.500 0.176 0.578
Y 0.500 0.495 0.242
Y 0.500 0.505 0.758
Y 0.500 0.824 0.422
Y 0.500 0.844 0.092
Y 0.000 0.344 0.408
Y 0.000 0.324 0.078
Y 0.000 0.005 0.742
Y 0.000 0.995 0.258
Y 0.000 0.676 0.922
Y 0.000 0.656 0.592
Ir 0.500 0.836 0.663
Ir 0.500 0.500 0.000
Ir 0.500 0.164 0.337
Ir 0.000 0.664 0.163
Ir 0.000 0.000 0.500
Ir 0.000 0.336 0.837
Ru 0.500 0.500 0.500
Ru 0.000 0.000 0.000



Here is a relaxed YIrRu crystal from Alexandria via LeMat-Bulk. Energies are from PBE-GGA.

Output
- calculated total energy (eV for the cell shown) = -52.6
- DFT formation energy (meV per atom) = -561
- energy above the lowest structure with this stoichiometry (meV per atom) = 0.0

a b c (Å): 5.213 5.374 5.374
angles (deg): 60.61 60.99 60.99
Positions (direct):
Y 0.877 0.373 0.373
Y 0.123 0.627 0.627
Ir 0.500 0.500 0.000
Ir 0.500 0.000 0.500
Ru 0.000 0.000 0.000
Ru 0.500 0.000 0.000



Here is a relaxed YIr2Ru crystal from Alexandria via LeMat-Bulk. Energies are from PBE-GGA.

Output
- calculated total energy (eV for the cell shown) = -32.4
- DFT formation energy (meV per atom) = 268
- energy above the lowest structure with this stoichiometry (meV per atom) = 475.8

a b c (Å): 9.503 9.503 9.503
angles (deg): 17.35 17.35 17.35
Positions (direct):
Ir 0.992 0.992 0.992
Ir 0.508 0.508 0.508
Ru 0.250 0.250 0.250
Y 0.750 0.750 0.750



Here is a relaxed Y2Ir2Ru crystal from Alexandria via LeMat-Bulk. Energies are from PBE-GGA.

Output
- calculated total energy (eV for the cell shown) = -84.4
- DFT formation energy (meV per atom) = -453

a b c (Å): 6.810 6.810 4.346
angles (deg): 90.00 90.00 90.00
Positions (direct):
Y 0.180 0.680 0.500
Y 0.680 0.820 0.500
Y 0.820 0.320 0.500
Y 0.320 0.180 0.500
Ru 0.000 0.000 0.000
Ru 0.500 0.500 0.000
Ir 0.368 0.868 0.000
Ir 0.868 0.632 0.000
Ir 0.632 0.132 0.000
Ir 0.132 0.368 0.000



Here is a relaxed YIr2Ru crystal from Alexandria via LeMat-Bulk. Energies are from PBE-GGA.

Output
- calculated total energy (eV for the cell shown) = -33.4
- DFT formation energy (meV per atom) = 11
- energy above the lowest structure with this stoichiometry (meV per atom) = 218.8

a b c (Å): 2.928 2.928 7.914
angles (deg): 90.00 90.00 90.00
Positions (direct):
Ir 0.000 0.000 0.027
Ir 0.500 0.500 0.256
Ru 0.000 0.000 0.464
Y 0.500 0.500 0.752



Here is a relaxed YIr2Ru crystal from Alexandria via LeMat-Bulk. Energies are from PBE-GGA.

Output
- calculated total energy (eV for the cell shown) = -34.0
- DFT formation energy (meV per atom) = -136
- energy above the lowest structure with this stoichiometry (meV per atom) = 71.7

a b c (Å): 4.580 2.898 5.089
angles (deg): 89.48 90.00 90.00
Positions (direct):
Ir 0.000 0.127 0.979
Ir 0.500 0.125 0.304
Ru 0.000 0.618 0.418
Y 0.500 0.630 0.800



Here is a relaxed Y3IrRu crystal from Alexandria via LeMat-Bulk. Energies are from PBE-GGA.

Output
- calculated total energy (eV for the cell shown) = -36.4
- DFT formation energy (meV per atom) = 221
- energy above the lowest structure with this stoichiometry (meV per atom) = 0.0

a b c (Å): 5.265 5.265 5.265
angles (deg): 90.00 90.00 90.00
Positions (direct):
Y 0.000 0.500 0.000
Y 0.000 0.000 0.500
Y 0.500 0.000 0.000
Ru 0.500 0.500 0.500
Ir 0.000 0.000 0.000



Here is a relaxed Y2IrRu crystal from Alexandria via LeMat-Bulk. Energies are from PBE-GGA.

Output
- calculated total energy (eV for the cell shown) = -31.7
- DFT formation energy (meV per atom) = -163

a b c (Å): 3.264 4.543 5.711
angles (deg): 90.00 90.00 90.00
Positions (direct):
Ir 0.000 0.000 0.445
Ru 0.500 0.500 0.805
Y 0.000 0.000 0.935
Y 0.500 0.500 0.315



Here is a relaxed YIr2Ru crystal from Alexandria via LeMat-Bulk. Energies are from PBE-GGA.

Output
- calculated total energy (eV for the cell shown) = -33.9
- DFT formation energy (meV per atom) = -115
- energy above the lowest structure with this stoichiometry (meV per atom) = 92.8

a b c (Å): 2.915 4.821 5.758
angles (deg): 54.63 90.00 90.00
Positions (direct):
Ir 0.000 0.000 0.000
Ir 0.500 0.500 0.000
Ru 0.500 0.500 0.500
Y 0.000 0.000 0.500



Here is a relaxed YIr2Ru crystal from Alexandria via LeMat-Bulk. Energies are from PBE-GGA.

Output
- calculated total energy (eV for the cell shown) = -33.9
- DFT formation energy (meV per atom) = -117
- energy above the lowest structure with this stoichiometry (meV per atom) = 91.3

a b c (Å): 4.986 4.986 4.985
angles (deg): 131.94 131.94 70.34
Positions (direct):
Ir 0.000 0.000 0.000
Ir 0.750 0.250 0.500
Ru 0.500 0.500 0.000
Y 0.250 0.750 0.500



Here is a relaxed Y2IrRu crystal from Alexandria via LeMat-Bulk. Energies are from PBE-GGA.

Output
- calculated total energy (eV for the cell shown) = -31.2
- DFT formation energy (meV per atom) = -35

a b c (Å): 4.787 4.787 4.787
angles (deg): 60.00 60.00 60.00
Positions (direct):
Ir 0.500 0.500 0.500
Ru 0.750 0.750 0.750
Y 0.000 0.000 0.000
Y 0.250 0.250 0.250